Material: TcRh7
Method: DFT, SCAN
State: PBEsol geometry

```
TcRh7
1.0
0.000 3.775 3.775
3.775 0.000 3.775
3.775 3.775 0.000
Tc Rh
1 7
Direct
0.000 0.000 0.000 Tc
0.000 0.000 0.500 Rh
0.000 0.500 0.000 Rh
0.000 0.500 0.500 Rh
0.500 0.000 0.000 Rh
0.500 0.000 0.500 Rh
0.500 0.500 0.000 Rh
0.500 0.500 0.500 Rh
```

Calculated values
Final energy   -33.9568 eV per atom
Symmetry   Fm-3m

Material: TcRh3
Method: DFT, SCAN
State: PBEsol geometry

```
TcRh3
1.0
5.352 0.000 0.000
0.000 13.031 0.000
0.000 0.000 4.650
Tc Rh
6 18
Direct
0.250 0.086 0.172 Tc
0.250 0.414 0.172 Tc
0.250 0.750 0.497 Tc
0.750 0.250 0.503 Tc
0.750 0.586 0.828 Tc
0.750 0.914 0.828 Tc
0.000 0.083 0.669 Rh
0.000 0.417 0.669 Rh
0.000 0.583 0.331 Rh
0.000 0.917 0.331 Rh
0.002 0.750 0.002 Rh
0.250 0.250 0.492 Rh
0.250 0.586 0.830 Rh
0.250 0.914 0.830 Rh
0.498 0.750 0.002 Rh
0.500 0.083 0.669 Rh
0.500 0.417 0.669 Rh
0.500 0.583 0.331 Rh
0.500 0.917 0.331 Rh
0.502 0.250 0.998 Rh
0.750 0.086 0.170 Rh
0.750 0.414 0.170 Rh
0.750 0.750 0.508 Rh
0.998 0.250 0.998 Rh
```

Calculated values
Final energy   -34.1661 eV per atom
Symmetry   Pmmn

Material: Tc3Rh
Method: DFT, SCAN
State: PBEsol geometry

```
Tc3Rh
1.0
2.702 0.000 0.000
0.000 4.312 0.000
0.000 0.000 4.714
Tc Rh
3 1
Direct
0.000 0.000 0.000 Tc
0.000 0.500 0.329 Tc
0.500 0.500 0.830 Tc
0.500 0.000 0.493 Rh
```

Calculated values
ΔE to the lowest computed polymorph   0.0 kJ per mole of atoms
Symmetry   Pmm2